No. 1
Material: Li2TiB2O6
Method: DFT, GGA-PBE
State: relaxed

abc: 4.8367 4.8367 5.9847
angles: 90.00 90.00 120.00
Space group P-3 (No. 147)
One atom of each set of equivalent atoms:
1 Li 0.3333 0.6667 0.2775 (multiplicity 2)
2 Ti 0.0000 0.0000 0.0000 (multiplicity 1)
3 B 0.3333 0.6667 0.8074 (multiplicity 2)
4 O 0.0703 0.7082 0.8054 (multiplicity 6)

Values from the calculation:
Density in g cm⁻³: 2.457
Crystal system: trigonal
Total moment in μB per formula unit: 0.0
Energy relative to the elements, uncorrected in eV/f.u.: -27.380

***

No. 2
Material: CaCd5Au3
Method: DFT, GGA-PBE
State: relaxed

abc: 3.984 15.030 14.106
angles: 90.00 90.00 90.00
Space group Cmcm (No. 63)
One atom of each set of equivalent atoms:
1 Ca 0.000 0.169 0.250 (multiplicity 4)
2 Cd 0.000 0.000 0.000 (multiplicity 4)
3 Cd 0.000 0.195 0.555 (multiplicity 8)
4 Cd 0.000 0.444 0.148 (multiplicity 8)
5 Au 0.000 0.162 0.750 (multiplicity 4)
6 Au 0.000 0.379 0.583 (multiplicity 8)

Values from the calculation:
Density in g cm⁻³: 9.383
Energy of formation from the pure elements in kJ per mole of atoms: -26
Crystal system: orthorhombic
Total moment in μB per formula unit: 0.0

***

No. 3
Material: KAgS3
Method: DFT, GGA-PBE
State: relaxed

abc: 5.652 5.652 5.652
angles: 90.00 90.00 90.00
Space group Pm-3m (No. 221)
One atom of each set of equivalent atoms:
1 K 0.000 0.000 0.000 (multiplicity 1)
2 Ag 0.500 0.500 0.500 (multiplicity 1)
3 S 0.000 0.000 0.500 (multiplicity 3)

Values from the calculation:
Energy above the lowest structure with this stoichiometry in eV per formula unit: 7.859
Density in g cm⁻³: 2.237
Crystal system: cubic
Total moment in μB per formula unit: 4.0
Energy relative to the elements, uncorrected in eV/f.u.: 5.934

***

No. 4
Material: TiPdF3
Method: DFT, GGA-PBE
State: relaxed

abc: 4.035 4.035 4.035
angles: 90.00 90.00 90.00
Space group Pm-3m (No. 221)
One atom of each set of equivalent atoms:
1 Ti 0.000 0.000 0.000 (multiplicity 1)
2 Pd 0.500 0.500 0.500 (multiplicity 1)
3 F 0.000 0.000 0.500 (multiplicity 3)

Values from the calculation:
Energy above the lowest structure with this stoichiometry in eV per formula unit: 0.000
Density in g cm⁻³: 5.340
Crystal system: cubic
Total moment in μB per formula unit: 0.0
Energy relative to the elements, uncorrected in eV/f.u.: -9.818

***

No. 5
Material: Nb2IrSBr
Method: DFT, GGA-PBE
State: relaxed

abc: 5.013 5.013 4.527
angles: 90.00 90.00 90.00
Space group P4/mmm (No. 123)
One atom of each set of equivalent atoms:
1 Nb 0.000 0.500 0.000 (multiplicity 2)
2 Ir 0.000 0.000 0.000 (multiplicity 1)
3 S 0.000 0.000 0.500 (multiplicity 1)
4 Br 0.500 0.500 0.500 (multiplicity 1)

Values from the calculation:
Energy above the lowest structure with this stoichiometry in eV per formula unit: 0.000
Density in g cm⁻³: 7.153
Crystal system: tetragonal
Total moment in μB per formula unit: 0.0
Energy relative to the elements, uncorrected in eV/f.u.: 4.432

***

No. 6
Material: Ca3Mo4
Method: DFT, GGA-PBE
State: relaxed

abc: 5.7074 5.7074 5.0565
angles: 90.00 90.00 120.00
Space group P6/mmm (No. 191)
One atom of each set of equivalent atoms:
1 Ca 0.0000 0.5000 0.0000 (multiplicity 3)
2 Mo 0.0000 0.0000 0.2503 (multiplicity 2)
3 Mo 0.3333 0.6667 0.5000 (multiplicity 2)

Values from the calculation:
Density in g cm⁻³: 5.867
Energy of formation from the pure elements in kJ per mole of atoms: 134
Crystal system: hexagonal
Total moment in μB per formula unit: 0.0

***

No. 7
Material: NaInC
Method: DFT, GGA-PBE
State: relaxed

abc: 13.102 3.671 6.298
angles: 90.00 116.74 90.00
Space group C2/m (No. 12)
One atom of each set of equivalent atoms:
1 Na 0.106 0.000 0.306 (multiplicity 4)
2 In 0.158 0.500 0.797 (multiplicity 4)
3 C 0.036 0.500 0.961 (multiplicity 4)

Values from the calculation:
Density in g cm⁻³: 3.678
Energy of formation from the pure elements in kJ per mole of atoms: 27
Crystal system: monoclinic
Total moment in μB per formula unit: 0.0

***

No. 8
Material: PmErAl2Zn2
Method: DFT, GGA-PBE
State: relaxed

abc: 4.4972 4.4972 7.2900
angles: 90.00 90.00 120.00
Space group P-3m1 (No. 164)
One atom of each set of equivalent atoms:
1 Pm 0.0000 0.0000 0.0000 (multiplicity 1)
2 Er 0.0000 0.0000 0.5000 (multiplicity 1)
3 Al 0.3333 0.6667 0.2679 (multiplicity 2)
4 Zn 0.3333 0.6667 0.7249 (multiplicity 2)

Values from the calculation:
Density in g cm⁻³: 6.464
Energy of formation from the pure elements in kJ per mole of atoms: -44
Crystal system: trigonal
Total moment in μB per formula unit: 0.0

***

No. 9
Material: TcAgIr4
Method: DFT, GGA-PBE
State: relaxed

abc: 7.294 7.294 7.294
angles: 90.00 90.00 90.00
Space group F-43m (No. 216)
One atom of each set of equivalent atoms:
1 Tc 0.000 0.000 0.000 (multiplicity 4)
2 Ag 0.250 0.250 0.750 (multiplicity 4)
3 Ir 0.125 0.125 0.375 (multiplicity 16)

Values from the calculation:
Density in g cm⁻³: 16.684
Energy of formation from the pure elements in kJ per mole of atoms: 53
Crystal system: cubic
Total moment in μB per formula unit: 0.9

***

No. 10
Material: LiNdMnIn
Method: DFT, GGA-PBE
State: relaxed

abc: 6.976 6.976 6.976
angles: 90.00 90.00 90.00
Space group F-43m (No. 216)
One atom of each set of equivalent atoms:
1 Li 0.000 0.000 0.000 (multiplicity 4)
2 Nd 0.250 0.250 0.250 (multiplicity 4)
3 Mn 0.000 0.000 0.500 (multiplicity 4)
4 In 0.250 0.250 0.750 (multiplicity 4)

Values from the calculation:
Density in g cm⁻³: 6.279
Energy of formation from the pure elements in kJ per mole of atoms: -7
Crystal system: cubic
Total moment in μB per formula unit: 4.0

***

No. 11
Material: Sm2Y2Al3
Method: DFT, GGA-PBE
State: relaxed

abc: 3.587 28.648 3.569
angles: 90.00 90.00 90.00
Space group Cmmm (No. 65)
One atom of each set of equivalent atoms:
1 Sm 0.000 0.192 0.000 (multiplicity 4)
2 Y 0.000 0.063 0.000 (multiplicity 4)
3 Al 0.000 0.373 0.500 (multiplicity 4)
4 Al 0.000 0.500 0.500 (multiplicity 2)

Values from the calculation:
Density in g cm⁻³: 5.065
Energy of formation from the pure elements in kJ per mole of atoms: -29
Crystal system: orthorhombic
Total moment in μB per formula unit: 0.0

***

No. 12
Material: HfFeAg2W
Method: DFT, GGA-PBE
State: relaxed

abc: 5.009 5.009 4.319
angles: 90.00 90.00 90.00
Space group P4/mmm (No. 123)
One atom of each set of equivalent atoms:
1 Hf 0.000 0.000 0.000 (multiplicity 1)
2 Fe 0.500 0.500 0.000 (multiplicity 1)
3 Ag 0.000 0.500 0.500 (multiplicity 2)
4 W 0.500 0.500 0.500 (multiplicity 1)

Values from the calculation:
Density in g cm⁻³: 9.715
Energy of formation from the pure elements in kJ per mole of atoms: 146
Crystal system: tetragonal
Total moment in μB per formula unit: 0.9

***

Q: Look up the total moment of the eleventh one.
A: 0.0 μB per formula unit